! Th3CoAs | Alexandria | PBE | optimized geometry; values from VASP
! ΔH_f (0 K) in eV/atom: -0.598
! Theoretical density in g cm⁻³: 10.76
&SYSTEM
  ibrav = 0, nat = 10, ntyp = 3
/
ATOMIC_SPECIES
Th 232.04 Th.upf
Co 58.93 Co.upf
As 74.92 As.upf
CELL_PARAMETERS angstrom
4.308 0.000 0.000
0.000 10.375 0.000
-2.147 0.000 5.733
ATOMIC_POSITIONS angstrom
Th -0.002 2.594 0.480
Th 0.005 0.536 4.006
Th 0.005 4.651 4.006
Th 2.157 5.724 1.727
Th 2.157 9.838 1.727
Th 2.164 7.781 5.253
Co 0.000 0.000 0.000
Co 0.000 5.187 0.000
As 0.004 7.781 2.860
As 2.157 2.594 2.872